(1)
PBE Sr2SeO, optimized geometry; SG = R3m, No. 160; DOS(E_F) = 0.00 states/eV per atom; polymorph energy (0 for the lowest one) = 0.245 eV per atom
1.0
-1.922 -2.678 2.155
1.919 -2.052 2.760
-1.580 3.448 6.473
Se Sr O
1 2 1
Direct
0.667 0.667 0.999
0.094 0.094 0.718
0.241 0.241 0.278
0.498 0.498 0.505

(2)
PBE SrSeO3, optimized geometry; SG = Pm-3m, No. 221; DOS(E_F) = 1.16 states/eV per atom
1.0
-0.423 2.177 3.880
-1.795 -3.650 1.852
4.071 -1.382 1.220
Sr O Se
1 3 1
Direct
0.000 0.000 0.000
0.000 0.000 0.500
0.500 0.000 0.000
0.000 0.500 0.000
0.500 0.500 0.500

(3)
PBE Sr5Se4O, optimized geometry; SG = I4, No. 79; DOS(E_F) = 0.00 states/eV per atom
1.0
6.265 0.000 0.000
3.133 6.787 0.000
3.133 0.000 6.787
Se Sr O
4 5 1
Direct
0.803 0.795 0.606
0.204 0.205 0.394
0.409 0.394 0.795
0.599 0.606 0.205
0.439 0.000 0.000
0.911 0.364 0.816
0.091 0.636 0.184
0.727 0.184 0.364
0.275 0.816 0.636
0.052 0.000 0.000

(4)
PBE Sr2SeO, optimized geometry; SG = R-3m, No. 166; DOS(E_F) = 0.00 states/eV per atom; polymorph energy (0 for the lowest one) = 0.090 eV per atom
1.0
-2.320 0.282 -3.290
1.172 -1.735 -3.451
-3.582 -6.162 -0.478
Se Sr O
1 2 1
Direct
0.000 0.000 0.000
0.763 0.763 0.711
0.237 0.237 0.289
0.500 0.500 0.500

(5)
PBE SrSe4O12, optimized geometry; SG = Im-3, No. 204; DOS(E_F) = 0.45 states/eV per atom
1.0
-0.583 -2.228 -5.952
-5.140 -1.652 3.403
0.498 6.361 -0.149
O Se Sr
12 4 1
Direct
0.900 0.192 0.708
0.292 0.100 0.808
0.708 0.515 0.808
0.808 0.292 0.100
0.292 0.485 0.192
0.708 0.900 0.192
0.100 0.808 0.292
0.808 0.708 0.515
0.192 0.292 0.485
0.192 0.708 0.900
0.515 0.808 0.708
0.485 0.192 0.292
0.000 0.000 0.500
0.500 0.000 0.000
0.500 0.500 0.500
0.000 0.500 0.000
0.000 0.000 0.000

(6)
PBE Sr2SeO, optimized geometry; SG = Fm-3m, No. 225; DOS(E_F) = 0.00 states/eV per atom; polymorph energy (0 for the lowest one) = 0.561 eV per atom
1.0
0.000 3.557 3.557
3.557 0.000 3.557
3.557 3.557 0.000
Se O Sr
1 1 2
Direct
0.500 0.500 0.500
0.000 0.000 0.000
0.750 0.750 0.750
0.250 0.250 0.250

(7)
PBE Sr2SeO, optimized geometry; SG = P2_1/c, No. 14; DOS(E_F) = 0.00 states/eV per atom; polymorph energy (0 for the lowest one) = 0.012 eV per atom
1.0
-6.078 0.420 3.139
-2.700 -6.090 -4.413
4.064 -4.851 4.207
Se O Sr
4 4 8
Direct
0.192 0.919 0.816
0.308 0.419 0.184
0.808 0.081 0.184
0.692 0.581 0.816
0.860 0.666 0.362
0.640 0.166 0.638
0.360 0.834 0.362
0.140 0.334 0.638
0.767 0.380 0.439
0.233 0.620 0.561
0.532 0.750 0.132
0.968 0.250 0.868
0.267 0.120 0.439
0.733 0.880 0.561
0.032 0.750 0.132
0.468 0.250 0.868

(8)
PBE SrSeO3, optimized geometry; SG = P2_1/m, No. 11; DOS(E_F) = 0.00 states/eV per atom
1.0
-0.888 -0.579 5.496
3.639 -2.606 0.314
5.315 3.948 1.275
Sr O Se
2 6 2
Direct
0.250 0.346 0.305
0.750 0.654 0.695
0.011 0.172 0.671
0.250 0.662 0.900
0.750 0.338 0.100
0.489 0.172 0.671
0.989 0.828 0.329
0.511 0.828 0.329
0.750 0.937 0.158
0.250 0.063 0.842

(9)
PBE Sr2TbSeO6, optimized geometry; SG = I4/mmm, No. 139; DOS(E_F) = 0.28 states/eV per atom
1.0
-0.803 -2.228 -5.360
2.056 -3.399 4.313
-4.325 -3.839 -0.963
Se Tb O Sr
1 1 6 2
Direct
0.000 0.500 0.500
0.000 0.000 0.000
0.532 0.266 0.734
0.000 0.734 0.734
0.000 0.266 0.734
0.000 0.266 0.266
0.468 0.734 0.266
0.000 0.734 0.266
0.500 0.750 0.750
0.500 0.250 0.250

(10)
PBE SrTcSeO2, optimized geometry; SG = P4/mmm, No. 123; DOS(E_F) = 0.85 states/eV per atom
1.0
-3.379 -2.821 0.447
1.763 -1.515 3.764
-2.353 3.197 2.389
O Tc Sr Se
2 1 1 1
Direct
0.500 0.000 0.000
0.000 0.500 0.000
0.000 0.000 0.500
0.500 0.500 0.500
0.000 0.000 0.000

(11)
PBE Sr2ThSe2O2, optimized geometry; SG = I4/mmm, No. 139; DOS(E_F) = 0.00 states/eV per atom
1.0
4.506 0.000 0.000
0.000 4.506 0.000
-2.253 -2.253 8.577
Se O Th Sr
2 2 1 2
Direct
0.826 0.826 0.651
0.174 0.174 0.349
0.000 0.500 0.000
0.500 0.000 0.000
0.000 0.000 0.000
0.644 0.644 0.287
0.356 0.356 0.713

(12)
PBE Sr2TlSe2O6, optimized geometry; SG = P-1, No. 2; DOS(E_F) = 0.04 states/eV per atom
1.0
6.070 0.016 0.003
3.044 5.994 0.384
-0.007 -2.942 6.173
O Sr Se Tl
6 2 2 1
Direct
0.966 0.629 0.839
0.077 0.842 0.604
0.034 0.371 0.161
0.923 0.158 0.396
0.404 0.628 0.839
0.596 0.372 0.161
0.849 0.304 0.817
0.151 0.696 0.183
0.207 0.584 0.666
0.793 0.416 0.334
0.500 0.000 0.500

(13)
PBE SrTlSe2O6, optimized geometry; SG = C2/c, No. 15; DOS(E_F) = 0.46 states/eV per atom
1.0
6.873 -0.670 0.504
-1.506 6.739 0.504
-1.060 -1.198 7.884
Se O Sr Tl
4 12 2 2
Direct
0.089 0.315 0.367
0.685 0.911 0.133
0.315 0.089 0.867
0.911 0.685 0.633
0.472 0.708 0.065
0.708 0.472 0.565
0.189 0.210 0.740
0.963 0.428 0.231
0.210 0.189 0.240
0.790 0.811 0.760
0.292 0.528 0.435
0.037 0.572 0.769
0.811 0.790 0.260
0.528 0.292 0.935
0.572 0.037 0.269
0.428 0.963 0.731
0.414 0.586 0.750
0.586 0.414 0.250
0.802 0.198 0.750
0.198 0.802 0.250

(14)
PBE SrTlSeO, optimized geometry; SG = P6_3mc, No. 186; DOS(E_F) = 0.88 states/eV per atom
1.0
4.181 0.000 0.000
-2.091 3.621 0.000
0.000 0.000 13.890
Sr Se Tl O
2 2 2 2
Direct
0.667 0.333 0.425
0.333 0.667 0.925
0.667 0.333 0.763
0.333 0.667 0.263
0.000 0.000 0.647
0.000 0.000 0.147
0.000 0.000 0.477
0.000 0.000 0.977

(15)
PBE SrUSe2O10, optimized geometry; SG = P-1, No. 2
1.0
-0.153 -5.059 -5.839
0.422 -4.487 7.287
-8.305 4.165 0.018
Se O U Sr
4 20 2 2
Direct
0.740 0.937 0.641
0.695 0.574 0.283
0.305 0.426 0.717
0.260 0.063 0.359
0.932 0.438 0.999
0.472 0.603 0.886
0.489 0.216 0.394
0.414 0.986 0.962
0.706 0.134 0.672
0.528 0.397 0.114
0.294 0.866 0.328
0.875 0.970 0.836
0.207 0.494 0.296
0.847 0.146 0.419
0.586 0.014 0.038
0.793 0.506 0.704
0.125 0.030 0.164
0.158 0.518 0.613
0.153 0.854 0.581
0.122 0.320 0.773
0.511 0.784 0.606
0.068 0.562 0.001
0.842 0.482 0.387
0.878 0.680 0.227
0.816 0.323 0.556
0.184 0.677 0.444
0.823 0.749 0.965
0.177 0.251 0.035

(16)
PBE SrUSe2O8, optimized geometry; SG = P-1, No. 2; DOS(E_F) = 0.00 states/eV per atom
1.0
5.843 0.001 -0.010
-2.303 6.499 0.016
-0.832 -3.367 10.968
O Sr U Se
16 2 2 4
Direct
0.089 0.810 0.757
0.910 0.137 0.971
0.083 0.375 0.569
0.562 0.665 0.912
0.664 0.889 0.444
0.438 0.335 0.088
0.443 0.473 0.340
0.557 0.527 0.660
0.090 0.863 0.029
0.917 0.625 0.431
0.123 0.583 0.158
0.877 0.417 0.842
0.674 0.981 0.756
0.326 0.019 0.244
0.336 0.111 0.556
0.911 0.190 0.243
0.672 0.245 0.434
0.328 0.755 0.566
0.827 0.738 0.837
0.173 0.262 0.163
0.274 0.308 0.656
0.699 0.193 0.881
0.301 0.807 0.119
0.726 0.692 0.344

(17)
PBE SrU3Se2O18, optimized geometry; SG = C2, No. 5
1.0
3.559 8.800 -0.224
-3.559 8.800 -0.224
0.000 0.931 6.806
O Se U Sr
18 2 3 1
Direct
0.400 0.397 0.760
0.560 0.993 0.555
0.307 0.693 0.000
0.957 0.308 0.974
0.410 0.386 0.301
0.007 0.440 0.445
0.304 0.964 0.949
0.263 0.257 0.062
0.968 0.026 0.269
0.704 0.971 0.560
0.614 0.590 0.699
0.692 0.043 0.026
0.029 0.296 0.440
0.676 0.324 0.000
0.743 0.737 0.938
0.974 0.032 0.731
0.603 0.600 0.240
0.036 0.696 0.051
0.192 0.207 0.886
0.793 0.808 0.114
0.390 0.401 0.031
0.599 0.610 0.969
0.992 0.008 0.000
0.660 0.340 0.500

Calculated values (kJ per mole of atoms) of energy relative to the elements, uncorrected for the records, taken in order: -202 27 -204 -217 -45 -171 -224 -183 -216 1 -252 -147 -124 -128 -162 -196 -194.
Calculated values (kg/m³) of theoretical density for the records, taken in order: 4671 3992 4430 4709 4941 4985 4466 4429 5940 5430 5695 4552 4950 6111 4124 4874 4842.